A PBEsol-optimized structure of Li2FeSiO4, computed with meta-GGA SCAN.

a b c (Å): 5.271 5.271 5.271
angles (deg): 131.01 131.01 71.80
Fractional positions:
Li1 0.250 0.750 0.500
Li2 0.750 0.250 0.500
Fe1 0.000 0.000 0.000
Si1 0.500 0.500 0.000
O1 0.171 0.171 0.564
O2 0.393 0.829 0.000
O3 0.607 0.607 0.436
O4 0.829 0.393 0.000

## Properties
space group	No. 121
total magnetization	4.00	μB per formula unit
E	-9.63	eV per atom

=====

A PBEsol-optimized structure of LiFeSiO4, computed with meta-GGA SCAN.

a b c (Å): 7.175 7.175 7.175
angles (deg): 90.00 90.00 90.00
Fractional positions:
Li1 0.248 0.252 0.748
Li2 0.252 0.748 0.248
Li3 0.748 0.248 0.252
Li4 0.752 0.752 0.752
Fe1 0.192 0.692 0.808
Fe2 0.308 0.308 0.308
Fe3 0.692 0.808 0.192
Fe4 0.808 0.192 0.692
Si1 0.032 0.032 0.032
Si2 0.468 0.968 0.532
Si3 0.532 0.468 0.968
Si4 0.968 0.532 0.468
O1 0.025 0.120 0.820
O2 0.120 0.820 0.025
O3 0.162 0.162 0.162
O4 0.180 0.525 0.380
O5 0.320 0.475 0.880
O6 0.338 0.838 0.662
O7 0.380 0.180 0.525
O8 0.475 0.880 0.320
O9 0.525 0.380 0.180
O10 0.620 0.680 0.975
O11 0.662 0.338 0.838
O12 0.680 0.975 0.620
O13 0.820 0.025 0.120
O14 0.838 0.662 0.338
O15 0.880 0.320 0.475
O16 0.975 0.620 0.680

## Properties
DOS at the Fermi energy	0.0	states/eV/f.u.
space group	No. 198
total magnetization	5.00	μB per formula unit
E	-10.30	eV per atom

=====

A PBEsol-optimized structure of Li2FeSnO4, computed with meta-GGA SCAN.

a b c (Å): 6.118 6.118 6.118
angles (deg): 121.81 119.49 88.88
Fractional positions:
Li1 0.000 0.000 0.000
Li2 0.500 0.000 0.000
Li3 0.500 0.000 0.500
Li4 0.500 0.500 0.500
Fe1 0.000 0.000 0.500
Fe2 0.000 0.500 0.000
Sn1 0.000 0.500 0.500
Sn2 0.500 0.500 0.000
O1 0.230 0.735 0.495
O2 0.246 0.252 0.506
O3 0.246 0.740 0.994
O4 0.260 0.265 0.995
O5 0.740 0.735 0.005
O6 0.754 0.260 0.006
O7 0.754 0.748 0.494
O8 0.770 0.265 0.505

## Properties
DOS at the Fermi energy	0.8	states/eV/f.u.
space group	No. 74
total magnetization	4.01	μB per formula unit
E	-12.28	eV per atom

=====

A PBEsol-optimized structure of LiFeSnO4, computed with meta-GGA SCAN.

a b c (Å): 5.980 5.980 5.980
angles (deg): 123.59 117.12 89.48
Fractional positions:
Li1 0.375 0.125 0.250
Li2 0.625 0.875 0.750
Fe1 0.000 0.000 0.500
Fe2 0.000 0.500 0.000
Sn1 0.000 0.500 0.500
Sn2 0.500 0.500 0.000
O1 0.206 0.743 0.463
O2 0.220 0.257 0.963
O3 0.230 0.236 0.506
O4 0.230 0.724 0.994
O5 0.770 0.276 0.006
O6 0.770 0.764 0.494
O7 0.780 0.743 0.037
O8 0.794 0.257 0.537

## Properties
space group	No. 74
total magnetization	1.00	μB per formula unit
E	-13.43	eV per atom

=====

Q: E of number 2 (LiFeSiO4)?
A: -10.30 eV per atom

=====

Q: Look up the total magnetization of the fourth one.
A: 1.00 μB per formula unit

=====

Q: Look up the total magnetization of the first one.
A: 4.00 μB per formula unit

=====

Copy entry 4 word for word.
A PBEsol-optimized structure of LiFeSnO4, computed with meta-GGA SCAN.

a b c (Å): 5.980 5.980 5.980
angles (deg): 123.59 117.12 89.48
Fractional positions:
Li1 0.375 0.125 0.250
Li2 0.625 0.875 0.750
Fe1 0.000 0.000 0.500
Fe2 0.000 0.500 0.000
Sn1 0.000 0.500 0.500
Sn2 0.500 0.500 0.000
O1 0.206 0.743 0.463
O2 0.220 0.257 0.963
O3 0.230 0.236 0.506
O4 0.230 0.724 0.994
O5 0.770 0.276 0.006
O6 0.770 0.764 0.494
O7 0.780 0.743 0.037
O8 0.794 0.257 0.537

## Properties
space group	No. 74
total magnetization	1.00	μB per formula unit
E	-13.43	eV per atom